No. 1
Computed, not measured: an optimized crystal structure of TlGa2RuO8 at the GGA-PBE level of DFT.

Summary:
**Energy relative to the elements, uncorrected**: -1019.3 meV/atom
**Magnetic moment**: 0.73 μB/f.u.
**Total DFT energy (no corrections)**: -5.7995 eV/atom

a = 4.653 Å, b = 4.646 Å, c = 6.452 Å
α = 90.00°, β = 90.00°, γ = 90.89°
Last column: magnetic moment on the atom in μB.
Element x y z (fractional)
Tl (0.000, 0.000, 0.500)  0.01
Ga (0.500, 0.500, 0.753)  0.01
Ga (0.500, 0.500, 0.247)  0.01
Ru (0.000, 0.000, 0.000)  0.47
O (0.201, 0.797, 0.210)  0.04
O (0.702, 0.704, 0.000)  -0.01
O (0.799, 0.203, 0.210)  0.04
O (0.799, 0.203, 0.790)  0.04
O (0.298, 0.296, 0.000)  -0.01
O (0.201, 0.797, 0.790)  0.04
O (0.677, 0.678, 0.500)  0.01
O (0.323, 0.322, 0.500)  0.01

---

No. 2
Computed, not measured: an optimized crystal structure of TlGaRuO6 at the GGA-PBE level of DFT.

Summary:
**Energy relative to the elements, uncorrected**: -966.4 meV/atom
**Magnetic moment**: 0.78 μB/f.u.
**Total DFT energy (no corrections)**: -5.9018 eV/atom

a = 5.207 Å, b = 5.207 Å, c = 9.470 Å
α = 90.00°, β = 90.00°, γ = 120.00°
Last column: magnetic moment on the atom in μB.
Element x y z (fractional)
Tl (0.000, 0.000, 0.000)  0.01
Tl (0.000, 0.000, 0.500)  0.01
Ga (0.667, 0.333, 0.250)  0.01
Ga (0.333, 0.667, 0.750)  0.01
Ru (0.333, 0.667, 0.250)  0.50
Ru (0.667, 0.333, 0.750)  0.50
O (0.625, 0.634, 0.138)  0.03
O (0.008, 0.375, 0.138)  0.03
O (0.375, 0.008, 0.638)  0.03
O (0.992, 0.625, 0.862)  0.03
O (0.366, 0.375, 0.362)  0.03
O (0.008, 0.634, 0.362)  0.03
O (0.634, 0.008, 0.862)  0.03
O (0.625, 0.992, 0.362)  0.03
O (0.992, 0.366, 0.638)  0.03
O (0.366, 0.992, 0.138)  0.03
O (0.634, 0.625, 0.638)  0.03
O (0.375, 0.366, 0.862)  0.03

---

No. 3
Computed, not measured: an optimized crystal structure of Tl2GaRuO6 at the GGA-PBE level of DFT.

Summary:
**Energy relative to the elements, uncorrected**: -858.2 meV/atom
**Magnetic moment**: 1.25 μB/f.u.
**Total DFT energy (no corrections)**: -5.5367 eV/atom

a = 5.111 Å, b = 5.309 Å, c = 5.309 Å
α = 90.00°, β = 90.00°, γ = 90.00°
Last column: magnetic moment on the atom in μB.
Element x y z (fractional)
Tl (0.045, 0.500, 0.000)  -0.02
Tl (0.045, 0.000, 0.500)  -0.02
Ga (0.562, 0.000, 0.000)  0.04
Ru (0.599, 0.500, 0.500)  0.85
O (0.687, 0.253, 0.253)  0.04
O (0.687, 0.253, 0.747)  0.04
O (0.247, 0.500, 0.500)  0.18
O (0.201, 0.000, 0.000)  -0.02
O (0.687, 0.747, 0.747)  0.04
O (0.687, 0.747, 0.253)  0.04

---

No. 4
Computed, not measured: an optimized crystal structure of ZnGaRuO6 at the GGA-PBE level of DFT.

Summary:
**Energy relative to the elements, uncorrected**: -1017.9 meV/atom
**Magnetic moment**: 0.00 μB/f.u.
**Total DFT energy (no corrections)**: -5.8319 eV/atom

a = 5.074 Å, b = 5.074 Å, c = 8.842 Å
α = 90.00°, β = 90.00°, γ = 120.00°
Element x y z (fractional)
Zn (0.000, 0.000, 0.000)
Zn (0.000, 0.000, 0.500)
Ga (0.667, 0.333, 0.250)
Ga (0.333, 0.667, 0.750)
Ru (0.333, 0.667, 0.250)
Ru (0.667, 0.333, 0.750)
O (0.641, 0.652, 0.131)
O (0.011, 0.359, 0.131)
O (0.359, 0.011, 0.631)
O (0.989, 0.641, 0.869)
O (0.348, 0.359, 0.369)
O (0.011, 0.652, 0.369)
O (0.652, 0.011, 0.869)
O (0.641, 0.989, 0.369)
O (0.989, 0.348, 0.631)
O (0.348, 0.989, 0.131)
O (0.652, 0.641, 0.631)
O (0.359, 0.348, 0.869)

---

No. 5
Computed, not measured: an optimized crystal structure of Ga2SO at the GGA-PBE level of DFT.

Summary:
**Energy relative to the elements, uncorrected**: -635.8 meV/atom
**Magnetic moment**: 0.00 μB/f.u.
**Total DFT energy (no corrections)**: -4.4206 eV/atom
**Polymorph energy (0 for the lowest one)**: 0 meV/atom

a = 5.722 Å, b = 5.722 Å, c = 5.933 Å
α = 61.17°, β = 61.17°, γ = 90.00°
Element x y z (fractional)
S (0.000, 0.000, 0.000)
S (0.750, 0.250, 0.500)
O (0.500, 0.500, 0.000)
O (0.250, 0.750, 0.500)
Ga (0.569, 0.125, 0.250)
Ga (0.181, 0.625, 0.250)
Ga (0.375, 0.431, 0.750)
Ga (0.875, 0.819, 0.750)

---

No. 6
Computed, not measured: an optimized crystal structure of GaSO6 at the GGA-PBE level of DFT.

Summary:
**Energy relative to the elements, uncorrected**: -467.2 meV/atom
**Magnetic moment**: 2.90 μB/f.u.
**Total DFT energy (no corrections)**: -5.0801 eV/atom

a = 5.300 Å, b = 5.300 Å, c = 4.635 Å
α = 97.27°, β = 97.27°, γ = 128.68°
Last column: magnetic moment on the atom in μB.
Element x y z (fractional)
Ga (0.000, 0.000, 0.000)  0.00
S (0.500, 0.500, 0.500)  -0.04
O (0.270, 0.270, 0.709)  0.54
O (0.414, 0.172, 0.282)  0.37
O (0.730, 0.730, 0.291)  0.54
O (0.828, 0.586, 0.718)  0.37
O (0.586, 0.828, 0.718)  0.37
O (0.172, 0.414, 0.282)  0.37

---

No. 7
Computed, not measured: an optimized crystal structure of GaSO2 at the GGA-PBE level of DFT.

Summary:
**Energy relative to the elements, uncorrected**: 447.0 meV/atom
**Magnetic moment**: 0.00 μB/f.u.
**Total DFT energy (no corrections)**: -3.8206 eV/atom
**Polymorph energy (0 for the lowest one)**: 1364 meV/atom

a = 3.970 Å, b = 3.970 Å, c = 3.970 Å
α = 60.00°, β = 60.00°, γ = 60.00°
Element x y z (fractional)
S (0.000, 0.000, 0.000)
O (0.250, 0.250, 0.250)
O (0.750, 0.750, 0.750)
Ga (0.500, 0.500, 0.500)

---

No. 8
Computed, not measured: an optimized crystal structure of Ga2SO at the GGA-PBE level of DFT.

Summary:
**Energy relative to the elements, uncorrected**: -149.6 meV/atom
**Magnetic moment**: 0.00 μB/f.u.
**Total DFT energy (no corrections)**: -3.9345 eV/atom
**Polymorph energy (0 for the lowest one)**: 486 meV/atom

a = 4.322 Å, b = 4.322 Å, c = 4.322 Å
α = 60.00°, β = 60.00°, γ = 60.00°
Element x y z (fractional)
S (0.500, 0.500, 0.500)
O (0.000, 0.000, 0.000)
Ga (0.250, 0.250, 0.250)
Ga (0.750, 0.750, 0.750)

---

No. 9
Computed, not measured: an optimized crystal structure of GaS2O at the GGA-PBE level of DFT.

Summary:
**Energy relative to the elements, uncorrected**: 635.0 meV/atom
**Magnetic moment**: 0.00 μB/f.u.
**Total DFT energy (no corrections)**: -3.4250 eV/atom
**Polymorph energy (0 for the lowest one)**: 680 meV/atom

a = 4.248 Å, b = 4.248 Å, c = 4.248 Å
α = 60.00°, β = 60.00°, γ = 60.00°
Element x y z (fractional)
S (0.250, 0.250, 0.250)
S (0.750, 0.750, 0.750)
O (0.000, 0.000, 0.000)
Ga (0.500, 0.500, 0.500)

---

No. 10
Computed, not measured: an optimized crystal structure of Ga2S2O at the GGA-PBE level of DFT.

Summary:
**Energy relative to the elements, uncorrected**: -981.9 meV/atom
**Magnetic moment**: 0.00 μB/f.u.
**Total DFT energy (no corrections)**: -4.8353 eV/atom

a = 3.629 Å, b = 6.082 Å, c = 9.639 Å
α = 83.76°, β = 100.85°, γ = 90.00°
Element x y z (fractional)
Ga (0.140, 0.860, 0.279)
Ga (0.860, 0.140, 0.721)
Ga (0.317, 0.575, 0.633)
Ga (0.683, 0.425, 0.367)
S (0.136, 0.229, 0.272)
S (0.864, 0.771, 0.728)
S (0.415, 0.281, 0.831)
S (0.585, 0.719, 0.169)
O (0.217, 0.636, 0.434)
O (0.783, 0.364, 0.566)

---

No. 11
Computed, not measured: an optimized crystal structure of GaS3O at the GGA-PBE level of DFT.

Summary:
**Energy relative to the elements, uncorrected**: 685.7 meV/atom
**Magnetic moment**: 0.00 μB/f.u.
**Total DFT energy (no corrections)**: -3.3878 eV/atom
**Polymorph energy (0 for the lowest one)**: 0 meV/atom

a = 4.286 Å, b = 4.286 Å, c = 4.286 Å
α = 90.00°, β = 90.00°, γ = 90.00°
Element x y z (fractional)
S (0.000, 0.500, 0.000)
S (0.000, 0.000, 0.500)
S (0.500, 0.000, 0.000)
O (0.000, 0.000, 0.000)
Ga (0.500, 0.500, 0.500)

---

No. 12
Computed, not measured: an optimized crystal structure of GaS3O at the GGA-PBE level of DFT.

Summary:
**Energy relative to the elements, uncorrected**: 1172.6 meV/atom
**Magnetic moment**: 0.00 μB/f.u.
**Total DFT energy (no corrections)**: -2.9008 eV/atom
**Polymorph energy (0 for the lowest one)**: 487 meV/atom

a = 4.623 Å, b = 4.623 Å, c = 4.623 Å
α = 90.00°, β = 90.00°, γ = 90.00°
Element x y z (fractional)
S (0.000, 0.500, 0.000)
S (0.000, 0.000, 0.500)
S (0.500, 0.000, 0.000)
O (0.500, 0.500, 0.500)
Ga (0.000, 0.000, 0.000)

---

No. 13
Computed, not measured: an optimized crystal structure of GaS2O at the GGA-PBE level of DFT.

Summary:
**Energy relative to the elements, uncorrected**: 242.4 meV/atom
**Magnetic moment**: 0.00 μB/f.u.
**Total DFT energy (no corrections)**: -3.8176 eV/atom
**Polymorph energy (0 for the lowest one)**: 287 meV/atom

a = 4.847 Å, b = 4.847 Å, c = 7.024 Å
α = 69.82°, β = 69.82°, γ = 90.00°
Element x y z (fractional)
S (0.582, 0.125, 0.250)
S (0.168, 0.625, 0.250)
S (0.375, 0.418, 0.750)
S (0.875, 0.832, 0.750)
O (0.500, 0.500, 0.000)
O (0.250, 0.750, 0.500)
Ga (0.000, 0.000, 0.000)
Ga (0.750, 0.250, 0.500)

---

No. 14
Computed, not measured: an optimized crystal structure of Ga3S2O15 at the GGA-PBE level of DFT.

Summary:
**Energy relative to the elements, uncorrected**: -631.7 meV/atom
**Magnetic moment**: 9.06 μB/f.u.
**Total DFT energy (no corrections)**: -5.2172 eV/atom

a = 6.888 Å, b = 6.888 Å, c = 6.888 Å
α = 63.83°, β = 63.83°, γ = 63.83°
Last column: magnetic moment on the atom in μB.
Element x y z (fractional)
Ga (0.000, 0.000, 0.500)  -0.04
Ga (0.000, 0.500, 0.000)  -0.04
Ga (0.500, 0.000, 0.000)  -0.04
S (0.684, 0.684, 0.684)  -0.01
S (0.316, 0.316, 0.316)  -0.01
O (0.596, 0.596, 0.596)  0.16
O (0.404, 0.404, 0.404)  0.16
O (0.493, 0.828, 0.828)  0.13
O (0.828, 0.828, 0.493)  0.13
O (0.828, 0.493, 0.828)  0.13
O (0.507, 0.172, 0.172)  0.13
O (0.172, 0.172, 0.507)  0.13
O (0.172, 0.507, 0.172)  0.13
O (0.097, 0.758, 0.758)  0.81
O (0.758, 0.758, 0.097)  0.81
O (0.758, 0.097, 0.758)  0.81
O (0.903, 0.242, 0.242)  0.81
O (0.242, 0.242, 0.903)  0.81
O (0.242, 0.903, 0.242)  0.81
O (0.000, 0.000, 0.000)  1.77

---

No. 15
Computed, not measured: an optimized crystal structure of GaS2O at the GGA-PBE level of DFT.

Summary:
**Energy relative to the elements, uncorrected**: -44.6 meV/atom
**Magnetic moment**: 0.00 μB/f.u.
**Total DFT energy (no corrections)**: -4.1046 eV/atom
**Polymorph energy (0 for the lowest one)**: 0 meV/atom

a = 6.521 Å, b = 6.521 Å, c = 6.521 Å
α = 32.92°, β = 32.92°, γ = 32.92°
Element x y z (fractional)
S (0.904, 0.904, 0.904)
S (0.096, 0.096, 0.096)
O (0.000, 0.000, 0.000)
Ga (0.500, 0.500, 0.500)

---

No. 16
Computed, not measured: an optimized crystal structure of GaSO2 at the GGA-PBE level of DFT.

Summary:
**Energy relative to the elements, uncorrected**: 61.8 meV/atom
**Magnetic moment**: 0.00 μB/f.u.
**Total DFT energy (no corrections)**: -4.2059 eV/atom
**Polymorph energy (0 for the lowest one)**: 979 meV/atom

a = 6.762 Å, b = 6.762 Å, c = 6.762 Å
α = 26.21°, β = 26.21°, γ = 26.21°
Element x y z (fractional)
S (0.500, 0.500, 0.500)
O (0.885, 0.885, 0.885)
O (0.115, 0.115, 0.115)
Ga (0.000, 0.000, 0.000)

---

No. 17
Computed, not measured: an optimized crystal structure of GaSO2 at the GGA-PBE level of DFT.

Summary:
**Energy relative to the elements, uncorrected**: -917.2 meV/atom
**Magnetic moment**: 0.00 μB/f.u.
**Total DFT energy (no corrections)**: -5.1849 eV/atom
**Polymorph energy (0 for the lowest one)**: 0 meV/atom

a = 6.222 Å, b = 6.222 Å, c = 6.222 Å
α = 27.90°, β = 27.90°, γ = 27.90°
Element x y z (fractional)
S (0.000, 0.000, 0.000)
O (0.890, 0.890, 0.890)
O (0.110, 0.110, 0.110)
Ga (0.500, 0.500, 0.500)

---

No. 18
Computed, not measured: an optimized crystal structure of GaS2O8 at the GGA-PBE level of DFT.

Summary:
**Energy relative to the elements, uncorrected**: -1156.6 meV/atom
**Magnetic moment**: 1.09 μB/f.u.
**Total DFT energy (no corrections)**: -5.7882 eV/atom

a = 4.707 Å, b = 6.384 Å, c = 6.384 Å
α = 63.51°, β = 83.31°, γ = 83.31°
Last column: magnetic moment on the atom in μB.
Element x y z (fractional)
Ga (0.000, 0.000, 0.000)  -0.01
S (0.660, 0.832, 0.832)  -0.01
S (0.340, 0.168, 0.168)  -0.01
O (0.210, 0.282, 0.930)  0.08
O (0.790, 0.070, 0.718)  0.08
O (0.342, 0.864, 0.864)  0.13
O (0.658, 0.136, 0.136)  0.13
O (0.210, 0.930, 0.282)  0.08
O (0.790, 0.718, 0.070)  0.08
O (0.727, 0.698, 0.698)  0.19
O (0.273, 0.302, 0.302)  0.19

---

No. 19
Computed, not measured: an optimized crystal structure of GaS2O6 at the GGA-PBE level of DFT.

Summary:
**Energy relative to the elements, uncorrected**: -1165.7 meV/atom
**Magnetic moment**: 1.02 μB/f.u.
**Total DFT energy (no corrections)**: -5.7247 eV/atom

a = 4.790 Å, b = 4.790 Å, c = 7.015 Å
α = 70.04°, β = 70.04°, γ = 60.00°
Last column: magnetic moment on the atom in μB.
Element x y z (fractional)
Ga (0.333, 0.333, 0.000)  0.01
S (0.757, 0.757, 0.729)  0.09
S (0.576, 0.576, 0.271)  0.09
O (0.702, 0.446, 0.810)  0.10
O (0.042, 0.702, 0.810)  0.10
O (0.446, 0.042, 0.810)  0.10
O (0.319, 0.575, 0.190)  0.10
O (0.915, 0.319, 0.190)  0.10
O (0.575, 0.915, 0.190)  0.10

---

No. 20
Computed, not measured: an optimized crystal structure of GaSO2 at the GGA-PBE level of DFT.

Summary:
**Energy relative to the elements, uncorrected**: -372.2 meV/atom
**Magnetic moment**: 0.86 μB/f.u.
**Total DFT energy (no corrections)**: -4.6399 eV/atom
**Polymorph energy (0 for the lowest one)**: 545 meV/atom

a = 5.204 Å, b = 5.204 Å, c = 5.589 Å
α = 62.25°, β = 62.25°, γ = 90.00°
Last column: magnetic moment on the atom in μB.
Element x y z (fractional)
S (0.500, 0.500, 0.000)  0.39
S (0.250, 0.750, 0.500)  0.42
O (0.716, 0.125, 0.250)  0.11
O (0.034, 0.625, 0.250)  0.09
O (0.375, 0.284, 0.750)  0.12
O (0.875, 0.966, 0.750)  0.10
Ga (0.000, 0.000, 0.000)  0.00
Ga (0.750, 0.250, 0.500)  0.00